Record 1
Density functional theory data (GGA-PBE) for a relaxed PmCrPt4 crystal.

Cell and atoms, written as POSCAR:
```
PmCrPt4
1.0
-2.6094 2.6811 3.8723
-3.5961 -2.5538 3.0885
1.1130 -0.9846 5.1753
Cr Pt Pm
1 4 1
Direct
0.0000 0.0000 0.0000
0.6257 0.6257 0.6257
0.6257 0.6257 0.1230
0.6257 0.1230 0.6257
0.1230 0.6257 0.6257
0.2500 0.2500 0.2500
```

Summary:
space group = F-43m, No. 216
energy of formation = -0.5823 eV/atom
calculated volume = 110.4 Å³ per cell
final energy = -7.01 eV/atom

---

Record 2
Density functional theory data (GGA-PBE) for a relaxed Tb2Dy13 crystal.

Cell and atoms, written as POSCAR:
```
Tb2Dy13
1.0
-3.9034 -4.9988 1.7763
4.5146 -3.9069 -6.3154
3.7925 -1.4144 7.9707
Dy Tb
13 2
Direct
0.6665 0.9997 0.3330
0.3335 0.0003 0.6670
0.4295 0.5768 0.3589
0.1336 0.8036 0.2675
0.5330 0.1966 0.0655
0.5705 0.4232 0.6411
0.0960 0.5760 0.6922
0.4670 0.8034 0.9345
0.7626 0.5760 0.0251
0.9040 0.4240 0.3078
0.8664 0.1964 0.7325
0.2374 0.4240 0.9749
0.0000 0.0000 0.0000
0.8006 0.8037 0.6016
0.1994 0.1963 0.3984
```

Summary:
space group = P-1, No. 2
energy of formation = 0.0496 eV/atom
calculated volume = 471.0 Å³ per cell
final energy = -4.56 eV/atom

---

Record 3
Density functional theory data (GGA-PBE) for a relaxed DyPu2Rh crystal.

Cell and atoms, written as POSCAR:
```
DyPu2Rh
1.0
-0.9350 -3.4534 -0.0080
1.6134 -0.4295 -3.1643
6.5762 -1.7889 3.5959
Dy Pu Rh
1 2 1
Direct
0.5000 0.5000 0.5000
0.0000 0.0000 0.1985
0.0000 0.0000 0.8015
0.5000 0.5000 0.0000
```

Summary:
space group = P4/mmm, No. 123
energy of formation = -0.1321 eV/atom
calculated volume = 98.6 Å³ per cell
final energy = -10.29 eV/atom